Compound: ReP2Rh
Source: the Alexandria database
Functional: PBE
Structure: optimized geometry

abc: 2.998 3.638 5.024
angles: 90.00 90.00 90.00
Space group Pmm2 (No. 25)
One atom of each set of equivalent atoms:
Re  0.000  0.000  0.000 (multiplicity 1)
P  0.000  0.000  0.504 (multiplicity 1)
P  0.500  0.500  0.850 (multiplicity 1)
Rh  0.500  0.500  0.369 (multiplicity 1)

Summary:
DFT total energy = -7.874 eV per atom
offset from the most stable computed form = 0.0859 eV/atom
magnetization = 0.00 μB per cell

=====

Compound: ReP2Rh
Source: the Alexandria database
Functional: PBE
Structure: optimized geometry

abc: 2.954 3.638 5.259
angles: 90.00 90.00 90.00
Space group Pmmm (No. 47)
One atom of each set of equivalent atoms:
Re  0.000  0.000  0.000 (multiplicity 1)
P  0.500  0.500  0.215 (multiplicity 2)
Rh  0.500  0.000  0.500 (multiplicity 1)

Summary:
DFT total energy = -7.572 eV per atom
offset from the most stable computed form = 0.3879 eV/atom
magnetization = 0.00 μB per cell

=====

What did the second record say?
Compound: ReP2Rh
Source: the Alexandria database
Functional: PBE
Structure: optimized geometry

abc: 2.954 3.638 5.259
angles: 90.00 90.00 90.00
Space group Pmmm (No. 47)
One atom of each set of equivalent atoms:
Re  0.000  0.000  0.000 (multiplicity 1)
P  0.500  0.500  0.215 (multiplicity 2)
Rh  0.500  0.000  0.500 (multiplicity 1)

Summary:
DFT total energy = -7.572 eV per atom
offset from the most stable computed form = 0.3879 eV/atom
magnetization = 0.00 μB per cell